# 1
Compound: DyCdGa
Source: Alexandria
Functional: GGA-PBEsol
Structure: optimized geometry

abc: 7.1218 7.1218 4.3216
angles: 90.00 90.00 120.00
Space group P-62m (No. 189)
Unique sites:
Dy 0.0000 0.5762 0.0000 [3 per cell]
Cd 0.0000 0.2489 0.5000 [3 per cell]
Ga 0.0000 0.0000 0.0000 [1 per cell]
Ga 0.3333 0.6667 0.5000 [2 per cell]

Summary:
Calculated formation energy ... -1.70 eV per formula unit

# 2
Compound: DyCdHg2
Source: Alexandria
Functional: GGA-PBEsol
Structure: optimized geometry

abc: 7.041 7.041 7.041
angles: 90.00 90.00 90.00
Space group Fm-3m (No. 225)
Unique sites:
Dy 0.000 0.000 0.000 [4 per cell]
Cd 0.000 0.000 0.500 [4 per cell]
Hg 0.250 0.250 0.250 [8 per cell]

Summary:
Calculated formation energy ... -1.89 eV per formula unit

# 3
Compound: DyCdIn
Source: Alexandria
Functional: GGA-PBEsol
Structure: optimized geometry

abc: 4.7704 4.7704 7.3189
angles: 90.00 90.00 120.00
Space group P-3m1 (No. 164)
Unique sites:
Dy 0.0000 0.0000 0.2376 [2 per cell]
Cd 0.3333 0.6667 0.9729 [2 per cell]
In 0.3333 0.6667 0.5538 [2 per cell]

Summary:
Calculated formation energy ... -1.31 eV per formula unit

# 4
Compound: Dy2CdIn
Source: Alexandria
Functional: GGA-PBEsol
Structure: optimized geometry

abc: 7.364 7.364 7.364
angles: 90.00 90.00 90.00
Space group Fm-3m (No. 225)
Unique sites:
Dy 0.250 0.250 0.250 [8 per cell]
Cd 0.000 0.000 0.000 [4 per cell]
In 0.000 0.000 0.500 [4 per cell]

Summary:
Calculated formation energy ... -1.80 eV per formula unit

# 5
Compound: Dy4CdIr
Source: Alexandria
Functional: GGA-PBEsol
Structure: optimized geometry

abc: 13.365 13.365 13.365
angles: 90.00 90.00 90.00
Space group F-43m (No. 216)
Unique sites:
Dy 0.000 0.000 0.188 [24 per cell]
Dy 0.060 0.250 0.750 [24 per cell]
Dy 0.100 0.100 0.400 [16 per cell]
Cd 0.169 0.169 0.169 [16 per cell]
Ir 0.108 0.108 0.608 [16 per cell]

Summary:
Calculated formation energy ... -3.13 eV per formula unit

# 6
Compound: Dy2MgCd
Source: Alexandria
Functional: GGA-PBEsol
Structure: optimized geometry

abc: 7.401 7.401 7.401
angles: 90.00 90.00 90.00
Space group Fm-3m (No. 225)
Unique sites:
Dy 0.250 0.250 0.250 [8 per cell]
Mg 0.000 0.000 0.000 [4 per cell]
Cd 0.000 0.000 0.500 [4 per cell]

Summary:
Calculated formation energy ... -0.80 eV per formula unit

# 7
Compound: Dy4CdNi
Source: Alexandria
Functional: GGA-PBEsol
Structure: optimized geometry

abc: 13.231 13.231 13.231
angles: 90.00 90.00 90.00
Space group F-43m (No. 216)
Unique sites:
Dy 0.000 0.000 0.186 [24 per cell]
Dy 0.061 0.250 0.750 [24 per cell]
Dy 0.099 0.099 0.401 [16 per cell]
Cd 0.169 0.169 0.169 [16 per cell]
Ni 0.108 0.108 0.608 [16 per cell]

Summary:
Calculated formation energy ... -1.87 eV per formula unit

# 8
Compound: DyCdPd2
Source: Alexandria
Functional: GGA-PBEsol
Structure: optimized geometry

abc: 6.649 6.649 6.649
angles: 90.00 90.00 90.00
Space group Fm-3m (No. 225)
Unique sites:
Dy 0.000 0.000 0.000 [4 per cell]
Cd 0.000 0.000 0.500 [4 per cell]
Pd 0.250 0.250 0.250 [8 per cell]

Summary:
Calculated formation energy ... -2.90 eV per formula unit

Results for magnetic moment: 0.00; 0.00; 0.00; 0.00; 0.00; 0.00; 0.00; 0.00 (in Bohr magnetons per cell, following the order of the records).